{"formula": "Ag3Mo3AsO13", "functional": "PBE+U", "state": "relaxed", "lattice": [[8.240, 0.004, 0.183], [-2.269, 8.059, 0.007], [-1.370, -4.521, 8.622]], "species": ["Ag", "Ag", "Ag", "Ag", "Ag", "Ag", "Mo", "Mo", "Mo", "Mo", "Mo", "Mo", "As", "As", "O", "O", "O", "O", "O", "O", "O", "O", "O", "O", "O", "O", "O", "O", "O", "O", "O", "O", "O", "O", "O", "O", "O", "O", "O", "O"], "frac_coords": [[0.374, 0.644, 0.422], [0.626, 0.356, 0.578], [0.071, 0.335, 0.556], [0.929, 0.665, 0.444], [0.261, 0.535, 0.059], [0.739, 0.465, 0.941], [0.311, 0.087, 0.755], [0.689, 0.913, 0.245], [0.106, 0.946, 0.232], [0.894, 0.054, 0.768], [0.481, 0.210, 0.140], [0.519, 0.790, 0.860], [0.932, 0.276, 0.161], [0.068, 0.724, 0.839], [0.208, 0.795, 0.248], [0.792, 0.205, 0.752], [0.469, 0.257, 0.731], [0.531, 0.743, 0.269], [0.406, 0.313, 0.026], [0.594, 0.687, 0.974], [0.061, 0.460, 0.333], [0.939, 0.540, 0.667], [0.905, 0.070, 0.176], [0.095, 0.930, 0.824], [0.737, 0.311, 0.120], [0.263, 0.689, 0.880], [0.025, 0.266, 0.013], [0.975, 0.734, 0.987], [0.446, 0.006, 0.876], [0.554, 0.994, 0.124], [0.258, 0.068, 0.138], [0.742, 0.932, 0.862], [0.543, 0.373, 0.335], [0.457, 0.627, 0.665], [0.745, 0.113, 0.422], [0.255, 0.887, 0.578], [0.123, 0.181, 0.746], [0.877, 0.819, 0.254], [0.186, 0.139, 0.419], [0.814, 0.861, 0.581]], "dft_energy_ry_per_atom": -0.44915}